A relaxed PrHo2Se4 crystal, computed with PBE-GGA.

Cell: 4.0330 12.5556 14.7760 Å, 90.00 90.00 90.00°
Closest atoms and distances in Å follow each position.
Sites, in units of the cell vectors:
Pr 0.2500 0.7546 0.3284  7 Se 3.07-3.17
Pr 0.7500 0.2454 0.6716  7 Se 3.07-3.17
Pr 0.2500 0.2546 0.1716  7 Se 3.07-3.17
Pr 0.7500 0.7454 0.8284  7 Se 3.07-3.17
Ho 0.7500 0.0578 0.8878  6 Se 2.82-2.87
Ho 0.2500 0.9422 0.1122  6 Se 2.82-2.87
Ho 0.7500 0.5578 0.6122  6 Se 2.82-2.87
Ho 0.2500 0.4422 0.3878  6 Se 2.82-2.87
Ho 0.2500 0.4064 0.9078  6 Se 2.80-2.89
Ho 0.7500 0.5936 0.0922  6 Se 2.80-2.89
Ho 0.2500 0.9064 0.5922  6 Se 2.80-2.89
Ho 0.7500 0.0936 0.4078  6 Se 2.80-2.89
Se 0.7500 0.0994 0.0764  3 Ho 2.83-2.87, 2 Pr 3.14
Se 0.2500 0.9006 0.9236  3 Ho 2.83-2.87, 2 Pr 3.14
Se 0.7500 0.5994 0.4236  3 Ho 2.83-2.87, 2 Pr 3.14
Se 0.2500 0.4006 0.5764  3 Ho 2.83-2.87, 2 Pr 3.14
Se 0.7500 0.9602 0.7160  3 Ho 2.80-2.82
Se 0.2500 0.0398 0.2840  3 Ho 2.80-2.82
Se 0.7500 0.4602 0.7840  3 Ho 2.80-2.82
Se 0.2500 0.5398 0.2160  3 Ho 2.80-2.82
Se 0.7500 0.3713 0.0419  3 Ho 2.86-2.89, 2 Pr 3.14
Se 0.2500 0.6287 0.9581  3 Ho 2.86-2.89, 2 Pr 3.14
Se 0.7500 0.8713 0.4581  3 Ho 2.86-2.89, 2 Pr 3.14
Se 0.2500 0.1287 0.5419  3 Ho 2.86-2.89, 2 Pr 3.14
Se 0.2500 0.1994 0.8233  3 Ho 2.85-2.88, 2 Pr 3.07
Se 0.7500 0.8006 0.1767  3 Ho 2.85-2.88, 2 Pr 3.07
Se 0.2500 0.6994 0.6767  3 Ho 2.85-2.88, 2 Pr 3.07
Se 0.7500 0.3006 0.3233  3 Ho 2.85-2.88, 2 Pr 3.07

Summary:
* energy above the lowest structure with this stoichiometry: 7.3 meV per atom
* energy: -0.21456 hartree per atom
* ΔE_f (raw): -1.857 eV/atom
* SG: Pnma (62)